The following is a DFT calculation (PBE+U) of an optimized crystal structure of MoH4O5.

## Properties
ρ: 2.786 Mg/m³
Total energy: -5.6391 eV/atom
Total magnetization: 0.00 μB per formula unit

Lattice parameters (Å, degrees): 4.167 6.995 7.570 89.15 89.64 76.56
Sites, in units of the cell vectors:
Mo  0.081  0.498  0.250
Mo  0.919  0.502  0.750
H  0.046  0.095  0.402
H  0.055  0.095  0.903
H  0.062  0.139  0.145
H  0.082  0.139  0.649
H  0.918  0.861  0.351
H  0.938  0.861  0.855
H  0.945  0.905  0.097
H  0.954  0.905  0.598
O  0.000  0.000  0.000
O  0.000  0.000  0.500
O  0.000  0.500  0.000
O  0.000  0.500  0.500
O  0.100  0.219  0.254
O  0.113  0.219  0.758
O  0.496  0.498  0.251
O  0.504  0.502  0.749
O  0.887  0.781  0.242
O  0.900  0.781  0.746